This record from Alexandria describes a geometry-optimized In2FeRu structure. The functional is GGA-PBE.

Cell: 5.1781 5.1781 5.1781 Å, 134.94 134.94 65.62°
With the nearest neighbours (Å) after each atom.
Sites, in units of the cell vectors:
In 0.0000 0.0000 0.0000  4 Fe 2.81, 4 In 2.94, 4 Ru 2.94
In 0.7500 0.2500 0.5000  4 Ru 2.81, 4 In 2.94, 4 Fe 2.94
Fe 0.5000 0.5000 0.0000  8 In 2.81-2.94, 4 Ru 2.94
Ru 0.2500 0.7500 0.5000  8 In 2.81-2.94, 4 Fe 2.94

Computed properties:
electronic total energy: -22.22 eV for the cell shown
formation enthalpy at 0 K: 0.249 eV per atom
space-group type: I-4m2

This record from Alexandria describes a geometry-optimized InFe2Ru structure. The functional is GGA-PBE.

Cell: 5.1447 5.1447 2.7677 Å, 101.34 101.34 117.65°
With the nearest neighbours (Å) after each atom.
Sites, in units of the cell vectors:
In 0.0000 0.0000 0.0000  2 Ru 2.66, 4 Fe 2.67, 2 In 2.77
Fe 0.0000 0.5000 0.5000  4 Fe 2.66-2.77, 2 In 2.67, 2 Ru 2.67
Fe 0.5000 0.0000 0.5000  4 Fe 2.66-2.77, 2 In 2.67, 2 Ru 2.67
Ru 0.5000 0.5000 0.0000  2 In 2.66, 4 Fe 2.67, 2 Ru 2.77

Computed properties:
electronic total energy: -27.62 eV for the cell shown
formation enthalpy at 0 K: 0.331 eV per atom
space-group type: C2/m